[1]
Entry from Alexandria: a relaxed structure of PrDy2Th2 (PBE).

energy of formation: 0.1 eV per formula unit
ΔE to the lowest computed polymorph: 0 meV/atom
energy: -28.7 eV/cell
theoretical density: 9.4 g/cm3

The structure in POSCAR format:
```
PrDy2Th2
1.0
1.798 1.038 14.598
-1.798 1.038 14.598
0.000 -2.076 14.598
Pr Dy Th
1 2 2
Direct
0.000 0.000 0.000
0.402 0.402 0.402
0.598 0.598 0.598
0.199 0.199 0.199
0.801 0.801 0.801
```


[2]
Entry from Alexandria: a relaxed structure of Pr3Dy2Th4 (PBE).

energy of formation: 0.7 eV per formula unit
energy: -52.6 eV/cell
theoretical density: 9.3 g/cm3

The structure in POSCAR format:
```
Pr3Dy2Th4
1.0
6.249 0.000 0.000
3.123 5.428 0.000
3.065 1.813 8.839
Pr Dy Th
3 2 4
Direct
0.000 0.000 0.000
0.445 0.114 0.669
0.555 0.886 0.331
0.226 0.558 0.331
0.774 0.442 0.669
0.101 0.774 0.669
0.329 0.338 0.001
0.671 0.662 0.999
0.899 0.226 0.331
```


[3]
Entry from Alexandria: a relaxed structure of Pr6Dy5Th2 (PBE).

energy of formation: 1.6 eV per formula unit
energy: -129.8 eV/cell
theoretical density: 7.9 g/cm3

The structure in POSCAR format:
```
Pr6Dy5Th2
1.0
11.706 0.000 0.000
0.000 21.012 0.000
0.000 0.000 3.645
Pr Dy Th
12 10 4
Direct
0.071 0.144 0.000
0.083 0.437 0.000
0.181 0.875 0.500
0.319 0.375 0.500
0.417 0.937 0.000
0.429 0.644 0.000
0.571 0.356 0.000
0.583 0.063 0.000
0.681 0.625 0.500
0.819 0.125 0.500
0.917 0.563 0.000
0.929 0.856 0.000
0.000 0.000 0.500
0.069 0.291 0.500
0.183 0.582 0.500
0.317 0.082 0.500
0.431 0.791 0.500
0.500 0.500 0.500
0.569 0.209 0.500
0.683 0.918 0.500
0.817 0.418 0.500
0.931 0.709 0.500
0.187 0.732 0.000
0.313 0.232 0.000
0.687 0.768 0.000
0.813 0.268 0.000
```


[4]
Entry from Alexandria: a relaxed structure of Pr4DyTh3 (PBE).

energy of formation: 0.3 eV per formula unit
energy: -91.4 eV/cell
theoretical density: 8.7 g/cm3

The structure in POSCAR format:
```
Pr4DyTh3
1.0
5.111 0.000 0.000
0.000 10.246 0.000
0.000 0.000 10.393
Pr Dy Th
8 2 6
Direct
0.250 0.001 0.136
0.250 0.250 0.868
0.250 0.499 0.136
0.250 0.750 0.861
0.750 0.250 0.139
0.750 0.501 0.864
0.750 0.750 0.132
0.750 0.999 0.864
0.250 0.750 0.384
0.750 0.250 0.616
0.250 0.250 0.383
0.250 0.502 0.616
0.250 0.998 0.616
0.750 0.002 0.384
0.750 0.498 0.384
0.750 0.750 0.617
```


[5]
Entry from Alexandria: a relaxed structure of Pr4Dy2Th (PBE).

energy of formation: 0.7 eV per formula unit
ΔE to the lowest computed polymorph: 0 meV/atom
energy: -70.2 eV/cell
theoretical density: 7.7 g/cm3

The structure in POSCAR format:
```
Pr4Dy2Th
1.0
0.000 12.237 3.236
6.100 0.000 3.236
6.100 12.237 0.000
Pr Dy Th
8 4 2
Direct
0.027 0.973 0.112
0.138 0.362 0.223
0.362 0.138 0.277
0.455 0.611 0.260
0.575 0.990 0.639
0.611 0.455 0.675
0.973 0.027 0.888
0.990 0.575 0.795
0.053 0.531 0.012
0.238 0.846 0.197
0.531 0.053 0.404
0.846 0.238 0.719
0.499 0.499 0.501
0.749 0.749 0.751
```


[6]
Entry from Alexandria: a relaxed structure of Pr4Dy2Th3 (PBE).

energy of formation: 0.5 eV per formula unit
energy: -50.1 eV/cell
theoretical density: 8.7 g/cm3

The structure in POSCAR format:
```
Pr4Dy2Th3
1.0
7.909 -1.818 0.000
7.909 1.818 0.000
-2.613 0.000 10.565
Pr Dy Th
4 2 3
Direct
0.004 0.004 0.338
0.338 0.338 0.115
0.662 0.662 0.885
0.996 0.996 0.662
0.336 0.336 0.779
0.664 0.664 0.221
0.000 0.000 0.000
0.326 0.326 0.442
0.674 0.674 0.558
```